EuTmAgBi: relaxed, GGA-PBE.

The structure in POSCAR format:
```
EuTmAgBi
1.0
5.3833 0.0000 0.0000
2.6917 4.6621 0.0000
2.6917 1.5540 4.3955
Ag Eu Tm Bi
1 1 1 1
direct
0.5000 0.5000 0.5000
0.2500 0.2500 0.2500
0.7500 0.7500 0.7500
0.0000 0.0000 0.0000
```

Results
Energy of formation in meV per atom: -448
Calculated volume in Å³ per cell: 110.3
Calculated total energy in eV per atom: -5.818